A plane-wave DFT calculation with PBE was carried out for a relaxed structure of SiHg2As.

Output
distance to the lowest polymorph of the same formula: 164 kJ/mol of formula units
raw formation energy: 0.525 eV per atom

```
SiHg2As
1.0
10.865 0.002 0.001
10.440 3.008 0.001
10.440 1.475 2.621
As Hg Si
1 2 1
Cartesian
7.936 1.121 0.656
31.729 4.482 2.622
15.889 2.244 1.313
23.809 3.363 1.967
```

A plane-wave DFT calculation with PBE was carried out for a relaxed structure of Al2SbPb.

Output
distance to the lowest polymorph of the same formula: 22 kJ/mol of formula units
raw formation energy: 0.183 eV per atom

```
Al2SbPb
1.0
6.433 0.000 0.000
0.000 6.433 0.000
3.217 3.217 6.141
Pb Sb Al
2 2 4
Cartesian
0.000 0.000 0.000
6.433 3.217 3.070
3.217 3.217 0.000
3.217 6.433 3.070
4.759 1.608 1.535
1.674 4.825 1.535
4.825 4.891 4.605
8.042 7.975 4.605
```

A plane-wave DFT calculation with PBE was carried out for a relaxed structure of TmPaZn17.

Output
formation energy from the elements: -0.16 eV/atom

```
TmPaZn17
1.0
-1.282 6.176 -2.478
-6.543 -1.007 -1.451
-2.552 2.681 5.677
Tm Pa Zn
1 1 17
Cartesian
-3.494 2.643 0.588
-6.885 5.208 1.159
-2.179 3.715 3.247
-2.845 4.039 -2.164
-5.352 0.096 0.665
-4.976 1.130 -1.748
-3.736 1.590 3.551
-1.665 5.130 -0.056
-6.840 2.290 -0.084
-4.908 4.076 3.367
-4.293 5.768 -0.582
-3.537 5.570 1.836
-5.476 3.777 -1.627
-6.093 2.080 2.335
-7.107 8.331 2.463
-9.087 6.501 -1.073
-9.717 4.768 2.973
-9.341 7.066 1.573
-1.046 0.791 0.176
```

A plane-wave DFT calculation with PBE was carried out for a relaxed structure of PmDy5Tm4.

Output
distance to the lowest polymorph of the same formula: 253 kJ/mol of formula units
formation energy from the elements: 0.31 eV/atom

```
PmDy5Tm4
1.0
-1.841 1.247 -5.886
4.442 -3.372 -5.467
-5.158 -5.132 -2.837
Pm Dy Tm
1 5 4
Cartesian
-0.410 0.278 -1.312
-4.493 -4.937 -9.393
0.493 -6.025 -7.820
-2.866 -1.356 -5.781
2.120 -2.444 -4.208
-1.248 0.845 -3.990
-2.588 -4.447 -6.538
-1.456 -4.452 -10.256
-0.926 -2.923 -3.372
0.206 -2.928 -7.091
```